Entry from Alexandria via LeMat-Bulk: K3V2P2O8F3 after structural relaxation (PBE with a Hubbard U).

Properties
D(E_F): 0.000 states/eV/f.u.
E_tot: -473.68 eV per cell
Mass density: 3.065 g/cm³

Lattice parameters (Å, degrees): 11.790 9.238 9.275 90.00 90.00 90.00
Space group Cmcm (No. 63)
One atom of each set of equivalent atoms:
K: 0.000 0.027 0.250 [4 per cell]
K: 0.000 0.316 0.046 [8 per cell]
V: 0.184 0.256 0.750 [8 per cell]
P: 0.241 0.000 0.000 [8 per cell]
O: 0.163 0.100 0.592 [16 per cell]
O: 0.179 0.409 0.598 [16 per cell]
F: 0.000 0.263 0.750 [4 per cell]
F: 0.147 0.250 0.250 [8 per cell]


Entry from Alexandria via LeMat-Bulk: KVPO4F after structural relaxation (PBE with a Hubbard U).

Properties
D(E_F): 0.000 states/eV/f.u.
E_tot: -441.28 eV per cell
Mass density: 2.951 g/cm³

Lattice parameters (Å, degrees): 13.038 6.496 10.844 90.00 90.00 90.00
Space group Pna2_1 (No. 33)
One atom of each set of equivalent atoms:
K: 0.104 0.202 0.000 [4 per cell]
K: 0.122 0.776 0.743 [4 per cell]
V: 0.115 0.496 0.445 [4 per cell]
V: 0.247 0.751 0.194 [4 per cell]
P: 0.001 0.335 0.696 [4 per cell]
P: 0.181 0.999 0.446 [4 per cell]
O: 0.011 0.526 0.312 [4 per cell]
O: 0.015 0.486 0.586 [4 per cell]
O: 0.094 0.803 0.174 [4 per cell]
O: 0.097 0.198 0.716 [4 per cell]
O: 0.112 0.188 0.421 [4 per cell]
O: 0.112 0.810 0.473 [4 per cell]
O: 0.247 0.456 0.834 [4 per cell]
O: 0.248 0.535 0.061 [4 per cell]
F: 0.230 0.481 0.571 [4 per cell]
F: 0.231 0.525 0.323 [4 per cell]